Record 1
## Zn2AsOsPt (GGA-PBE)

Data for a relaxed structure of Zn2AsOsPt.

Properties
total DFT energy (no corrections) = -3.938 eV/atom

Cell: 4.699 4.821 4.699 Å, 90.00 90.00 90.00°
Positions (direct):
1 Zn 0.500 0.000 0.000
2 Zn 0.000 0.000 0.500
3 As 0.500 0.500 0.500
4 Pt 0.000 0.000 0.000
5 Os 0.000 0.500 0.000

***

Record 2
## Tb2YTi (GGA-PBE)

Data for a relaxed structure of Tb2YTi.

Properties
distance to the lowest polymorph of the same formula = 0.0000 eV/atom
total DFT energy (no corrections) = -5.735 eV/atom

Cell: 3.429 3.429 9.484 Å, 90.00 90.00 90.00°
Positions (direct):
1 Tb 0.000 0.000 0.219
2 Tb 0.000 0.000 0.781
3 Y 0.500 0.500 0.500
4 Ti 0.500 0.500 0.000

***

Record 3
## Ce2DyTc2C4 (GGA-PBE)

Data for a relaxed structure of Ce2DyTc2C4.

Properties
total DFT energy (no corrections) = -8.319 eV/atom

Cell: 3.422 7.060 6.040 Å, 106.40 90.00 104.02°
Positions (direct):
1 C 0.450 0.899 0.248
2 C 0.550 0.101 0.752
3 C 0.774 0.548 0.780
4 C 0.226 0.452 0.220
5 Ce 0.870 0.739 0.469
6 Ce 0.130 0.261 0.531
7 Tc 0.681 0.361 0.008
8 Tc 0.319 0.639 0.992
9 Dy 0.000 0.000 0.000